Entry from the Alexandria database: crystalline PaV2Ge at its relaxed geometry (PBE-GGA).

Its energy above the most stable polymorph in this dataset is 120.5 meV per atom. The value obtained for the calculated volume is 70 Å³/cell. The value obtained for the formation energy from the elements is -1 kJ/mol of atoms.

a = 3.308 Å, b = 3.308 Å, c = 6.364 Å
α = 90.00°, β = 90.00°, γ = 90.00°
Space group P4/mmm (No. 123)
One atom of each set of equivalent atoms:
Pa1 0.000 0.000 0.000 (multiplicity 1)
V1 0.500 0.500 0.320 (multiplicity 2)
Ge1 0.000 0.000 0.500 (multiplicity 1)